! Ge2Sb2Au | the Alexandria database | SCAN | single point on PBEsol structure; values from VASP
! VASP energy, eV/atom: -36.1045
! E_form (uncorrected), eV per atom: 0.266
&SYSTEM
  ibrav = 0, nat = 5, ntyp = 3
/
ATOMIC_SPECIES
Sb 121.76 Sb.upf
Ge 72.64 Ge.upf
Au 196.97 Au.upf
CELL_PARAMETERS angstrom
3.662 0.000 0.000
0.000 3.662 0.000
-1.831 -1.831 8.178
ATOMIC_POSITIONS angstrom
Sb 1.831 1.831 1.543
Sb 0.000 0.000 6.635
Ge 0.000 1.831 4.089
Ge 1.831 0.000 4.089
Au 0.000 0.000 0.000

***

! TaSb2As | the Alexandria database | SCAN | single point on PBEsol structure; values from VASP
! VASP energy, eV/atom: -40.2648
! E_form (uncorrected), eV per atom: 0.059
&SYSTEM
  ibrav = 0, nat = 4, ntyp = 3
/
ATOMIC_SPECIES
Sb 121.76 Sb.upf
As 74.92 As.upf
Ta 180.95 Ta.upf
CELL_PARAMETERS angstrom
-0.255 3.263 -1.223
-1.244 -3.201 -3.290
-5.413 0.620 2.781
ATOMIC_POSITIONS angstrom
Sb -4.398 -0.230 0.302
Sb -1.692 0.106 -4.355
As -2.818 0.942 -1.891
Ta -2.335 1.867 0.477

***

! CaCo3Pd | the Alexandria database | SCAN | single point on PBEsol structure; values from VASP
! VASP energy, eV/atom: -18.1715
! Formation enthalpy at 0 K, eV/f.u.: 3.49
&SYSTEM
  ibrav = 0, nat = 5, ntyp = 3
/
ATOMIC_SPECIES
Pd 106.42 Pd.upf
Co 58.93 Co.upf
Ca 40.08 Ca.upf
CELL_PARAMETERS angstrom
-0.195 -4.519 0.628
4.562 -0.184 0.090
-0.064 0.631 4.522
ATOMIC_POSITIONS angstrom
Pd 0.000 0.000 0.000
Co -0.098 -2.259 0.314
Co -0.032 0.316 2.261
Co 2.281 -0.092 0.045
Ca 2.152 -2.036 2.620

***

! BePt4W | the Alexandria database | SCAN | single point on PBEsol structure; values from VASP
! VASP energy, eV/atom: -58.7151
! Formation enthalpy at 0 K, eV/f.u.: 2.52
&SYSTEM
  ibrav = 0, nat = 6, ntyp = 3
/
ATOMIC_SPECIES
Pt 195.08 Pt.upf
Be 9.01 Be.upf
W 183.84 W.upf
CELL_PARAMETERS angstrom
-2.139 -4.303 -1.724
2.526 -4.422 0.345
-1.553 -3.576 3.295
ATOMIC_POSITIONS angstrom
Pt -0.437 -4.614 0.719
Pt -1.213 -6.401 2.365
Pt 0.825 -6.824 0.891
Pt -1.506 -6.764 -0.143
Be 0.000 0.000 0.000
W -0.874 -9.226 1.437

***

! Li2CdPb | the Alexandria database | SCAN | single point on PBEsol structure; values from VASP
! VASP energy, eV/atom: -28.0963
! Formation enthalpy at 0 K, eV/f.u.: -1.41
&SYSTEM
  ibrav = 0, nat = 4, ntyp = 3
/
ATOMIC_SPECIES
Pb 207.20 Pb.upf
Cd 112.41 Cd.upf
Li 6.94 Li.upf
CELL_PARAMETERS angstrom
3.347 0.000 0.000
0.000 4.803 0.120
0.000 -0.125 4.803
ATOMIC_POSITIONS angstrom
Pb 1.674 0.000 0.000
Cd 1.674 2.339 2.462
Li 0.000 2.402 0.060
Li 0.000 -0.062 2.402

***

! Li3SnH | the Alexandria database | SCAN | single point on PBEsol structure; values from VASP
! VASP energy, eV/atom: -9.6588
&SYSTEM
  ibrav = 0, nat = 5, ntyp = 3
/
ATOMIC_SPECIES
Li 6.94 Li.upf
H 1.01 H.upf
Sn 118.71 Sn.upf
CELL_PARAMETERS angstrom
-2.380 -3.091 -1.253
3.289 -2.432 -0.246
-0.558 -1.148 3.894
ATOMIC_POSITIONS angstrom
Li -1.190 -1.546 -0.626
Li -0.279 -0.574 1.947
Li 1.644 -1.216 -0.123
H 0.000 0.000 0.000
Sn 0.175 -3.336 1.197

***

! LaAsN2F | the Alexandria database | SCAN | single point on PBEsol structure; values from VASP
! VASP energy, eV/atom: -16.8658
! E_form (uncorrected), eV per atom: 0.218
&SYSTEM
  ibrav = 0, nat = 5, ntyp = 4
/
ATOMIC_SPECIES
N 14.01 N.upf
F 19.00 F.upf
As 74.92 As.upf
La 138.91 La.upf
CELL_PARAMETERS angstrom
-2.963 -2.747 1.725
3.087 -1.539 2.850
-1.178 3.134 2.968
ATOMIC_POSITIONS angstrom
N 1.543 -0.770 1.425
N -0.589 1.567 1.484
F -1.482 -1.374 0.863
As -0.527 -0.576 3.772
La 0.000 0.000 0.000

***

! HfGaSN2 | the Alexandria database | SCAN | single point on PBEsol structure; values from VASP
! VASP energy, eV/atom: -21.3261
! E_form (uncorrected), eV per atom: 0.120
&SYSTEM
  ibrav = 0, nat = 5, ntyp = 4
/
ATOMIC_SPECIES
N 14.01 N.upf
Hf 178.49 Hf.upf
Ga 69.72 Ga.upf
S 32.06 S.upf
CELL_PARAMETERS angstrom
4.021 0.000 0.000
0.000 4.021 0.000
0.000 0.000 5.247
ATOMIC_POSITIONS angstrom
N 0.000 2.011 0.000
N 2.011 0.000 0.000
Hf 0.000 0.000 0.000
Ga 2.011 2.011 2.623
S 0.000 0.000 2.623

***

Q: Which value of VASP energy does entry 8 give?
A: -21.3261 eV/atom

***

Q: Among the records above, which one has the lowest VASP energy?
A: BePt4W

***

Q: Look up the VASP energy of the sixth one.
A: -9.6588 eV/atom

***

Q: What is the VASP energy in the second record?
A: -40.2648 eV/atom